Entry 1:
# ZnCdHg, optimized geometry, DFT PBE
# Formation enthalpy at 0 K   24 kJ/mol of formula units
# Total DFT energy (no corrections)   -0.02752 Ha/atom
data_ZnCdHg
_space_group_name_H-M_alt 'F -4 3 m'
_space_group_IT_number 216
_space_group_name_Hall 'F -4 2 3'
_cell_length_a 6.499
_cell_length_b 6.499
_cell_length_c 6.499
_cell_angle_alpha 90.00
_cell_angle_beta 90.00
_cell_angle_gamma 90.00
loop_
_atom_site_label
_atom_site_fract_x
_atom_site_fract_y
_atom_site_fract_z
_atom_site_occupancy
Zn1 0.000 0.000 0.000 1
Cd1 0.250 0.250 0.250 1
Hg1 0.250 0.250 0.750 1

Entry 2:
# Pu3Pd2Pt2, optimized geometry, DFT PBE
# Formation enthalpy at 0 K   -371 kJ/mol of formula units
# Total DFT energy (no corrections)   -0.36384 Ha/atom
data_Pu3Pd2Pt2
_space_group_name_H-M_alt 'I 21 3'
_space_group_IT_number 199
_space_group_name_Hall 'I 2b 2c 3'
_cell_length_a 8.524
_cell_length_b 8.524
_cell_length_c 8.524
_cell_angle_alpha 90.00
_cell_angle_beta 90.00
_cell_angle_gamma 90.00
loop_
_atom_site_label
_atom_site_fract_x
_atom_site_fract_y
_atom_site_fract_z
_atom_site_occupancy
Pu1 0.000 0.250 0.358 1
Pd1 0.156 0.344 0.656 1
Pt1 0.072 0.072 0.072 1

Entry 3:
# MgGa2Ge2, optimized geometry, DFT PBE
# Formation enthalpy at 0 K   46 kJ/mol of formula units
# Total DFT energy (no corrections)   -0.12060 Ha/atom
data_MgGa2Ge2
_space_group_name_H-M_alt 'P 4/m b m'
_space_group_IT_number 127
_space_group_name_Hall '-P 4 2ab'
_cell_length_a 7.568
_cell_length_b 7.568
_cell_length_c 3.412
_cell_angle_alpha 90.00
_cell_angle_beta 90.00
_cell_angle_gamma 90.00
loop_
_atom_site_label
_atom_site_fract_x
_atom_site_fract_y
_atom_site_fract_z
_atom_site_occupancy
Mg1 0.000 0.000 0.000 1
Ga1 0.133 0.367 0.000 1
Ge1 0.162 0.662 0.500 1

Entry 4:
# CdNi, optimized geometry, DFT PBE
# Formation enthalpy at 0 K   16 kJ/mol of formula units
# Total DFT energy (no corrections)   -0.11996 Ha/atom
data_CdNi
_space_group_name_H-M_alt 'P n m a'
_space_group_IT_number 62
_cell_length_a 9.993
_cell_length_b 4.488
_cell_length_c 5.514
_cell_angle_alpha 90.00
_cell_angle_beta 90.00
_cell_angle_gamma 90.00
loop_
_space_group_symop_operation_xyz
'x,y,z'
'-x,-y,-z'
'-x+1/2,-y,z+1/2'
'x+1/2,y,-z+1/2'
'x+1/2,-y+1/2,-z+1/2'
'-x+1/2,y+1/2,z+1/2'
'-x,y+1/2,-z'
'x,-y+1/2,z'
loop_
_atom_site_label
_atom_site_fract_x
_atom_site_fract_y
_atom_site_fract_z
_atom_site_occupancy
Cd1 0.065 0.250 0.199 1
Cd2 0.169 0.750 0.475 1
Ni1 0.097 0.250 0.720 1
Ni2 0.182 0.750 0.974 1

Entry 5:
# Ho6Te3Pd, optimized geometry, DFT PBE
# Raw formation energy   -19.962 kcal/mol of atoms
# Total DFT energy (no corrections)   -0.18647 Ha/atom
data_Ho6Te3Pd
_space_group_name_H-M_alt 'P 1 21/m 1'
_space_group_IT_number 11
_cell_length_a 11.378
_cell_length_b 3.983
_cell_length_c 13.063
_cell_angle_alpha 90.00
_cell_angle_beta 105.81
_cell_angle_gamma 90.00
loop_
_space_group_symop_operation_xyz
'x,y,z'
'-x,-y,-z'
'-x,y+1/2,-z'
'x,-y+1/2,z'
loop_
_atom_site_label
_atom_site_fract_x
_atom_site_fract_y
_atom_site_fract_z
_atom_site_occupancy
Ho1 0.023 0.250 0.347 1
Ho2 0.070 0.250 0.887 1
Ho3 0.272 0.750 0.327 1
Ho4 0.295 0.750 0.762 1
Ho5 0.403 0.250 0.560 1
Ho6 0.421 0.750 0.130 1
Te1 0.146 0.250 0.144 1
Te2 0.170 0.750 0.523 1
Te3 0.345 0.250 0.945 1
Pd1 0.459 0.250 0.298 1

Entry 6:
# Al5Te, optimized geometry, DFT PBE
# Raw formation energy   3.736 kcal/mol of atoms
# Total DFT energy (no corrections)   -0.12790 Ha/atom
data_Al5Te
_space_group_name_H-M_alt 'A m m 2'
_space_group_IT_number 38
_cell_length_a 4.404
_cell_length_b 3.119
_cell_length_c 17.378
_cell_angle_alpha 90.00
_cell_angle_beta 90.00
_cell_angle_gamma 90.00
loop_
_space_group_symop_operation_xyz
'x,y,z'
'-x,-y,z'
'-x,y,z'
'x,-y,z'
'x,y+1/2,z+1/2'
'-x,-y+1/2,z+1/2'
'-x,y+1/2,z+1/2'
'x,-y+1/2,z+1/2'
loop_
_atom_site_label
_atom_site_fract_x
_atom_site_fract_y
_atom_site_fract_z
_atom_site_occupancy
Al1 0.000 0.000 0.000 1
Al2 0.000 0.000 0.287 1
Al3 0.000 0.000 0.647 1
Al4 0.500 0.000 0.188 1
Al5 0.500 0.000 0.540 1
Te1 0.500 0.000 0.869 1

Entry 7:
# Pr4GaSe3, optimized geometry, DFT PBE
# Raw formation energy   -36.435 kcal/mol of atoms
# Total DFT energy (no corrections)   -0.20781 Ha/atom
data_Pr4GaSe3
_space_group_name_H-M_alt 'P m -3 m'
_space_group_IT_number 221
_space_group_name_Hall '-P 4 2 3'
_cell_length_a 6.061
_cell_length_b 6.061
_cell_length_c 6.061
_cell_angle_alpha 90.00
_cell_angle_beta 90.00
_cell_angle_gamma 90.00
loop_
_atom_site_label
_atom_site_fract_x
_atom_site_fract_y
_atom_site_fract_z
_atom_site_occupancy
Pr1 0.000 0.000 0.000 1
Pr2 0.000 0.500 0.500 1
Ga1 0.500 0.500 0.500 1
Se1 0.000 0.000 0.500 1

Entry 8:
# GdPuBiSb, optimized geometry, DFT PBE
# Raw formation energy   -13.636 kcal/mol of atoms
# Total DFT energy (no corrections)   -0.35630 Ha/atom
data_GdPuBiSb
_space_group_name_H-M_alt 'F -4 3 m'
_space_group_IT_number 216
_space_group_name_Hall 'F -4 2 3'
_cell_length_a 7.701
_cell_length_b 7.701
_cell_length_c 7.701
_cell_angle_alpha 90.00
_cell_angle_beta 90.00
_cell_angle_gamma 90.00
loop_
_atom_site_label
_atom_site_fract_x
_atom_site_fract_y
_atom_site_fract_z
_atom_site_occupancy
Gd1 0.000 0.000 0.000 1
Pu1 0.000 0.000 0.500 1
Bi1 0.250 0.250 0.750 1
Sb1 0.250 0.250 0.250 1

Entry 9:
# Tl3GaTe2O9, optimized geometry, DFT PBE
# Raw formation energy   -19.413 kcal/mol of atoms
# Total DFT energy (no corrections)   -0.18046 Ha/atom
data_Tl3GaTe2O9
_space_group_name_H-M_alt 'P -3 m 1'
_space_group_IT_number 164
_space_group_name_Hall '-P 3 2"'
_cell_length_a 5.7593
_cell_length_b 5.7593
_cell_length_c 7.0761
_cell_angle_alpha 90.00
_cell_angle_beta 90.00
_cell_angle_gamma 120.00
loop_
_atom_site_label
_atom_site_fract_x
_atom_site_fract_y
_atom_site_fract_z
_atom_site_occupancy
Tl1 0.0000 0.0000 0.0000 1
Tl2 0.3333 0.6667 0.6645 1
Ga1 0.0000 0.0000 0.5000 1
Te1 0.3333 0.6667 0.1788 1
O1 0.0000 0.5000 0.0000 1
O2 0.1679 0.3357 0.3312 1

Entry 10:
# LiPmPdAu, optimized geometry, DFT PBE
# Formation enthalpy at 0 K   -264 kJ/mol of formula units
# Total DFT energy (no corrections)   -0.16420 Ha/atom
data_LiPmPdAu
_space_group_name_H-M_alt 'R 3 m'
_space_group_IT_number 160
_space_group_name_Hall 'R 3 -2"'
_cell_length_a 4.4599
_cell_length_b 4.4599
_cell_length_c 14.3749
_cell_angle_alpha 90.00
_cell_angle_beta 90.00
_cell_angle_gamma 120.00
loop_
_atom_site_label
_atom_site_fract_x
_atom_site_fract_y
_atom_site_fract_z
_atom_site_occupancy
Li1 0.0000 0.0000 0.0000 1
Pm1 0.0000 0.0000 0.5038 1
Pd1 0.0000 0.0000 0.2865 1
Au1 0.0000 0.0000 0.7181 1

Entry 11:
# Sr2Cd12Hg5, optimized geometry, DFT PBE
# Formation enthalpy at 0 K   -264 kJ/mol of formula units
# Total DFT energy (no corrections)   -0.03595 Ha/atom
data_Sr2Cd12Hg5
_space_group_name_H-M_alt 'R -3 m'
_space_group_IT_number 166
_space_group_name_Hall '-R 3 2"'
_cell_length_a 10.4448
_cell_length_b 10.4448
_cell_length_c 15.0504
_cell_angle_alpha 90.00
_cell_angle_beta 90.00
_cell_angle_gamma 120.00
loop_
_atom_site_label
_atom_site_fract_x
_atom_site_fract_y
_atom_site_fract_z
_atom_site_occupancy
Sr1 0.0000 0.0000 0.1676 1
Cd1 0.0000 0.3028 0.5000 1
Cd2 0.0172 0.5086 0.6507 1
Hg1 0.0000 0.0000 0.3995 1
Hg2 0.0000 0.5000 0.0000 1

Entry 12:
# Cs3SrPa2O9, optimized geometry, DFT PBE
# Raw formation energy   -56.753 kcal/mol of atoms
# Total DFT energy (no corrections)   -0.25669 Ha/atom
data_Cs3SrPa2O9
_space_group_name_H-M_alt 'P -3 m 1'
_space_group_IT_number 164
_space_group_name_Hall '-P 3 2"'
_cell_length_a 6.4803
_cell_length_b 6.4803
_cell_length_c 7.9630
_cell_angle_alpha 90.00
_cell_angle_beta 90.00
_cell_angle_gamma 120.00
loop_
_atom_site_label
_atom_site_fract_x
_atom_site_fract_y
_atom_site_fract_z
_atom_site_occupancy
Cs1 0.0000 0.0000 0.0000 1
Cs2 0.3333 0.6667 0.6597 1
Sr1 0.0000 0.0000 0.5000 1
Pa1 0.3333 0.6667 0.1602 1
O1 0.0000 0.5000 0.0000 1
O2 0.1823 0.3647 0.3099 1

Entry 13:
# Al6GePd12, optimized geometry, DFT PBE
# Formation enthalpy at 0 K   -985 kJ/mol of formula units
# Total DFT energy (no corrections)   -0.19264 Ha/atom
data_Al6GePd12
_space_group_name_H-M_alt 'R -3'
_space_group_IT_number 148
_space_group_name_Hall '-R 3'
_cell_length_a 10.6953
_cell_length_b 10.6953
_cell_length_c 10.0846
_cell_angle_alpha 90.00
_cell_angle_beta 90.00
_cell_angle_gamma 120.00
loop_
_atom_site_label
_atom_site_fract_x
_atom_site_fract_y
_atom_site_fract_z
_atom_site_occupancy
Al1 0.0458 0.2163 0.1756 1
Ge1 0.0000 0.0000 0.5000 1
Pd1 0.0484 0.2418 0.4225 1
Pd2 0.0538 0.2452 0.9232 1

Entry 14:
# TbSnRu2, optimized geometry, DFT PBE
# Formation enthalpy at 0 K   -134 kJ/mol of formula units
# Total DFT energy (no corrections)   -0.26255 Ha/atom
data_TbSnRu2
_space_group_name_H-M_alt 'P 4/m m m'
_space_group_IT_number 123
_space_group_name_Hall '-P 4 2'
_cell_length_a 4.616
_cell_length_b 4.616
_cell_length_c 3.392
_cell_angle_alpha 90.00
_cell_angle_beta 90.00
_cell_angle_gamma 90.00
loop_
_atom_site_label
_atom_site_fract_x
_atom_site_fract_y
_atom_site_fract_z
_atom_site_occupancy
Tb1 0.000 0.000 0.000 1
Sn1 0.500 0.500 0.000 1
Ru1 0.000 0.500 0.500 1

Entry 15:
# CoIr6Os, optimized geometry, DFT PBE
# Formation enthalpy at 0 K   3 kJ/mol of formula units
# Total DFT energy (no corrections)   -0.32831 Ha/atom
data_CoIr6Os
_space_group_name_H-M_alt 'P 4/m m m'
_space_group_IT_number 123
_space_group_name_Hall '-P 4 2'
_cell_length_a 5.434
_cell_length_b 5.434
_cell_length_c 3.829
_cell_angle_alpha 90.00
_cell_angle_beta 90.00
_cell_angle_gamma 90.00
loop_
_atom_site_label
_atom_site_fract_x
_atom_site_fract_y
_atom_site_fract_z
_atom_site_occupancy
Co1 0.000 0.000 0.000 1
Ir1 0.000 0.500 0.000 1
Ir2 0.249 0.249 0.500 1
Os1 0.500 0.500 0.000 1

Entry 16:
# BaInGa2Hg, optimized geometry, DFT PBE
# Formation enthalpy at 0 K   8 kJ/mol of formula units
# Total DFT energy (no corrections)   -0.08037 Ha/atom
data_BaInGa2Hg
_space_group_name_H-M_alt 'P 4/m m m'
_space_group_IT_number 123
_space_group_name_Hall '-P 4 2'
_cell_length_a 5.465
_cell_length_b 5.465
_cell_length_c 5.493
_cell_angle_alpha 90.00
_cell_angle_beta 90.00
_cell_angle_gamma 90.00
loop_
_atom_site_label
_atom_site_fract_x
_atom_site_fract_y
_atom_site_fract_z
_atom_site_occupancy
Ba1 0.000 0.000 0.000 1
In1 0.500 0.500 0.500 1
Ga1 0.000 0.500 0.500 1
Hg1 0.500 0.500 0.000 1

Entry 17:
# CdBi2Pd2, optimized geometry, DFT PBE
# Formation enthalpy at 0 K   15 kJ/mol of formula units
# Total DFT energy (no corrections)   -0.13896 Ha/atom
data_CdBi2Pd2
_space_group_name_H-M_alt 'I 4/m m m'
_space_group_IT_number 139
_space_group_name_Hall '-I 4 2'
_cell_length_a 4.855
_cell_length_b 4.855
_cell_length_c 10.965
_cell_angle_alpha 90.00
_cell_angle_beta 90.00
_cell_angle_gamma 90.00
loop_
_atom_site_label
_atom_site_fract_x
_atom_site_fract_y
_atom_site_fract_z
_atom_site_occupancy
Cd1 0.000 0.000 0.000 1
Bi1 0.000 0.500 0.250 1
Pd1 0.000 0.000 0.379 1

Entry 18:
# BaCo4P, optimized geometry, DFT PBE
# Formation enthalpy at 0 K   316 kJ/mol of formula units
# Total DFT energy (no corrections)   -0.19897 Ha/atom
data_BaCo4P
_space_group_name_H-M_alt 'F -4 3 m'
_space_group_IT_number 216
_space_group_name_Hall 'F -4 2 3'
_cell_length_a 7.272
_cell_length_b 7.272
_cell_length_c 7.272
_cell_angle_alpha 90.00
_cell_angle_beta 90.00
_cell_angle_gamma 90.00
loop_
_atom_site_label
_atom_site_fract_x
_atom_site_fract_y
_atom_site_fract_z
_atom_site_occupancy
Ba1 0.000 0.000 0.000 1
Co1 0.122 0.122 0.622 1
P1 0.250 0.250 0.250 1

Entry 19:
# Tb2PmTi, optimized geometry, DFT PBE
# Formation enthalpy at 0 K   168 kJ/mol of formula units
# Total DFT energy (no corrections)   -0.18524 Ha/atom
data_Tb2PmTi
_space_group_name_H-M_alt 'R -3 m'
_space_group_IT_number 166
_space_group_name_Hall '-R 3 2"'
_cell_length_a 3.3779
_cell_length_b 3.3779
_cell_length_c 35.5717
_cell_angle_alpha 90.00
_cell_angle_beta 90.00
_cell_angle_gamma 120.00
loop_
_atom_site_label
_atom_site_fract_x
_atom_site_fract_y
_atom_site_fract_z
_atom_site_occupancy
Tb1 0.0000 0.0000 0.0827 1
Pm1 0.0000 0.0000 0.5000 1
Ti1 0.0000 0.0000 0.0000 1

Entry 20:
# LiScTaIn2, optimized geometry, DFT PBE
# Formation enthalpy at 0 K   261 kJ/mol of formula units
# Total DFT energy (no corrections)   -0.16808 Ha/atom
data_LiScTaIn2
_space_group_name_H-M_alt 'P 4/m m m'
_space_group_IT_number 123
_space_group_name_Hall '-P 4 2'
_cell_length_a 5.461
_cell_length_b 5.461
_cell_length_c 4.995
_cell_angle_alpha 90.00
_cell_angle_beta 90.00
_cell_angle_gamma 90.00
loop_
_atom_site_label
_atom_site_fract_x
_atom_site_fract_y
_atom_site_fract_z
_atom_site_occupancy
Li1 0.000 0.000 0.000 1
Sc1 0.500 0.500 0.000 1
Ta1 0.500 0.500 0.500 1
In1 0.000 0.500 0.500 1